First-principles (SCAN) data for PbAu5 at its PBEsol-relaxed geometry, as listed in the Alexandria database.

The formation energy comes out at 3.2 kJ/mol of atoms. The density of states at the Fermi level is 0.254 states/eV/atom. The value obtained for the calculated volume is 18.84 Å³ per atom. Its total energy is -70.2278 eV per atom.

The space group is P4/mmm (No. 123) and the conventional cell measures 3.358, 3.358 and 10.024 Å, with angles of 90.00, 90.00 and 90.00 degrees. The inequivalent atoms are Pb at (0.000, 0.000, 0.000), Au at (0.000, 0.000, 0.350), Au at (0.500, 0.500, 0.199) and Au at (0.500, 0.500, 0.500).